! K2RePb PBE optimized geometry; values from VASP
! calculated formation energy: 1124 meV/atom
! density of states at the Fermi level: 1.001 states/eV/atom
! mass density: 7.5 g/cm3
! final energy: -13.857 eV/f.u.
&SYSTEM
  ibrav = 0, nat = 4, ntyp = 3
/
ATOMIC_SPECIES
K 39.10 K.upf
Re 186.21 Re.upf
Pb 207.20 Pb.upf
CELL_PARAMETERS angstrom
2.9326 -5.8660 0.0000
2.9326 5.8660 0.0000
-0.0232 0.0000 3.0330
ATOMIC_POSITIONS angstrom
K 1.4663 2.9330 0.0000
K 1.4663 -2.9330 0.0000
Re -0.0116 0.0000 1.5165
Pb 2.9210 0.0000 1.5165

---

! Tb2ZrGe3Ir4 PBE optimized geometry; values from VASP
! calculated formation energy: -821 meV/atom
! density of states at the Fermi level: 0.496 states/eV/atom
! mass density: 12.3 g/cm3
! final energy: -75.313 eV/f.u.
&SYSTEM
  ibrav = 0, nat = 10, ntyp = 4
/
ATOMIC_SPECIES
Tb 158.93 Tb.upf
Zr 91.22 Zr.upf
Ge 72.64 Ge.upf
Ir 192.22 Ir.upf
CELL_PARAMETERS angstrom
4.1384 0.0000 0.0000
0.0000 4.1384 0.0000
0.0000 0.0000 11.0468
ATOMIC_POSITIONS angstrom
Tb 0.0000 2.0692 2.5442
Tb 2.0692 0.0000 8.5026
Zr 0.0000 0.0000 5.5234
Ge 0.0000 2.0692 9.6502
Ge 2.0692 0.0000 1.3966
Ge 2.0692 2.0692 5.5234
Ir 0.0000 0.0000 0.0000
Ir 0.0000 2.0692 7.2032
Ir 2.0692 0.0000 3.8436
Ir 2.0692 2.0692 0.0000

---

! ZnAgSnHg PBE optimized geometry; values from VASP
! calculated formation energy: 131 meV/atom
! density of states at the Fermi level: 0.165 states/eV/atom
! mass density: 9.6 g/cm3
! final energy: -7.907 eV/f.u.
&SYSTEM
  ibrav = 0, nat = 4, ntyp = 4
/
ATOMIC_SPECIES
Zn 65.41 Zn.upf
Ag 107.87 Ag.upf
Sn 118.71 Sn.upf
Hg 200.59 Hg.upf
CELL_PARAMETERS angstrom
0.0000 3.4972 3.4972
3.4972 0.0000 3.4972
3.4972 3.4972 0.0000
ATOMIC_POSITIONS angstrom
Zn 0.0000 0.0000 0.0000
Ag 3.4972 3.4972 3.4972
Sn 1.7486 1.7486 1.7486
Hg 5.2458 5.2458 5.2458